# AuN

A relaxed AuN crystal (GGA-PBE, Alexandria).

## Properties
Magnetization ... 0.0 μB/f.u.
Space group ... P2_12_12_1
Distance to the lowest polymorph of the same formula ... 160 meV/atom
Calculated volume ... 334 Å³ per cell
ΔE_f (raw) ... 1.4638 eV/atom

Cell lengths 7.238, 7.228, 6.377 Å; angles 90.00, 90.00, 90.00 degrees
Atoms (fractional coordinates):
1 Au 0.265 0.918 0.247
2 Au 0.843 0.993 0.042
3 Au 0.735 0.418 0.253
4 Au 0.343 0.507 0.958
5 Au 0.235 0.082 0.747
6 Au 0.765 0.582 0.753
7 Au 0.157 0.493 0.458
8 Au 0.657 0.007 0.542
9 N 0.740 0.133 0.271
10 N 0.240 0.367 0.729
11 N 0.882 0.451 0.524
12 N 0.618 0.549 0.024
13 N 0.118 0.951 0.976
14 N 0.382 0.049 0.476
15 N 0.260 0.633 0.229
16 N 0.760 0.867 0.771

---

# Mg2CdMo

A relaxed Mg2CdMo crystal (GGA-PBE, Alexandria).

## Properties
Magnetization ... 0.0 μB/f.u.
Space group ... Cmm2
Calculated volume ... 77 Å³ per cell
ΔH_f (0 K) ... 23 kJ per mole of atoms

Cell lengths 2.879, 2.879, 9.517 Å; angles 90.00, 90.00, 103.23 degrees
Atoms (fractional coordinates):
1 Cd 0.500 0.500 0.738
2 Mg 0.000 0.000 0.997
3 Mg 0.500 0.500 0.268
4 Mo 0.000 0.000 0.497